# 1
DFT (PBE) results for an optimized crystal structure of PrPuSc2O8.

abc: 4.9614 4.9619 6.9837
angles: 89.99 89.99 87.97
With the nearest neighbours (Å) after each atom.
Element x y z (fractional)
Sc  0.5001  0.5001  0.2725  4 O 2.02-2.10
Sc  0.4999  0.4999  0.7275  4 O 2.02-2.10
O  0.6749  0.6750  0.5000  2 Sc 2.02
O  0.2004  0.7994  0.2181  1 Pu 2.06, 1 Sc 2.10
O  0.7996  0.2007  0.2181  1 Pu 2.06, 1 Sc 2.10
O  0.3251  0.3250  0.5000  2 Sc 2.02
O  0.2742  0.2738  0.9999  1 Pu 1.96
O  0.7258  0.7262  0.0001  1 Pu 1.96
O  0.2004  0.7993  0.7819  1 Pu 2.06, 1 Sc 2.10
O  0.7996  0.2006  0.7819  1 Pu 2.06, 1 Sc 2.10
Pu  0.0000  0.0000  0.0000  6 O 1.96-2.06
Pr  0.0000  0.0000  0.5000  6 O 2.32-2.41

Values from the calculation:
As for the space-group type: Cmmm, No. 65. The calculated total energy is -8.925 eV per atom. The mass density comes out at 5826 kg/m³. As for the formation energy (no corrections): -2972 meV per atom.

***

# 2
DFT (PBE) results for an optimized crystal structure of K2CdBi.

abc: 3.7705 3.7705 12.8969
angles: 81.59 81.59 60.00
With the nearest neighbours (Å) after each atom.
Element x y z (fractional)
K  0.9106  0.9106  0.2683  1 Bi 3.41, 3 Cd 3.66, 6 K 3.77
K  0.0894  0.0894  0.7317  1 Bi 3.41, 3 Cd 3.66, 6 K 3.77
Cd  0.5000  0.5000  0.5000  6 K 3.66, 6 Cd 3.77
Bi  0.0000  0.0000  0.0000  2 K 3.41, 6 Bi 3.77

Values from the calculation:
Its density of states at the Fermi level is 3.16 states/eV/f.u. The calculation puts the calculated formation energy at 0.1121 eV per atom. As for the space-group type: R-3m, No. 166. The calculated total energy is -1.636 eV per atom. The mass density comes out at 4240 kg/m³.

***

Q: The highest mass density belongs to which entry?
A: PrPuSc2O8

***

Q: Among the records above, which one has the highest mass density?
A: PrPuSc2O8

***

What did the first record say?
DFT (PBE) results for an optimized crystal structure of PrPuSc2O8.

abc: 4.9614 4.9619 6.9837
angles: 89.99 89.99 87.97
With the nearest neighbours (Å) after each atom.
Element x y z (fractional)
Sc  0.5001  0.5001  0.2725  4 O 2.02-2.10
Sc  0.4999  0.4999  0.7275  4 O 2.02-2.10
O  0.6749  0.6750  0.5000  2 Sc 2.02
O  0.2004  0.7994  0.2181  1 Pu 2.06, 1 Sc 2.10
O  0.7996  0.2007  0.2181  1 Pu 2.06, 1 Sc 2.10
O  0.3251  0.3250  0.5000  2 Sc 2.02
O  0.2742  0.2738  0.9999  1 Pu 1.96
O  0.7258  0.7262  0.0001  1 Pu 1.96
O  0.2004  0.7993  0.7819  1 Pu 2.06, 1 Sc 2.10
O  0.7996  0.2006  0.7819  1 Pu 2.06, 1 Sc 2.10
Pu  0.0000  0.0000  0.0000  6 O 1.96-2.06
Pr  0.0000  0.0000  0.5000  6 O 2.32-2.41

Values from the calculation:
As for the space-group type: Cmmm, No. 65. The calculated total energy is -8.925 eV per atom. The mass density comes out at 5826 kg/m³. As for the formation energy (no corrections): -2972 meV per atom.